Here is AlHg2Pb after structural relaxation from Alexandria. Energies are from GGA-PBE.

abc: 4.0980 5.4558 9.1154
angles: 90.00 90.00 90.00
With the nearest neighbours (Å) after each atom.
Fractional positions:
Al1 0.0000 0.0000 0.0000  2 Hg 2.79, 2 Pb 3.04
Al2 0.5000 0.5000 0.0000  2 Hg 2.79, 2 Pb 3.04
Hg1 0.0000 0.0000 0.5342  6 Hg 3.12-3.41, 2 Pb 3.33
Hg2 0.0000 0.5000 0.7919  2 Al 2.79, 2 Hg 3.12
Hg3 0.5000 0.0000 0.7919  2 Al 2.79, 2 Hg 3.12
Hg4 0.5000 0.5000 0.5342  6 Hg 3.12-3.41, 2 Pb 3.33
Pb1 0.0000 0.5000 0.2468  2 Al 3.04, 2 Hg 3.33
Pb2 0.5000 0.0000 0.2468  2 Al 3.04, 2 Hg 3.33

Here is AlHgPb4 after structural relaxation from Alexandria. Energies are from GGA-PBE.

abc: 6.4707 6.4707 6.4707
angles: 60.00 60.00 60.00
With the nearest neighbours (Å) after each atom.
Fractional positions:
Al1 0.0000 0.0000 0.0000  12 Pb 3.79, 4 Hg 3.96
Hg1 0.7500 0.7500 0.7500  12 Pb 3.79, 4 Al 3.96
Pb1 0.3748 0.3748 0.3748  6 Pb 3.23-3.24
Pb2 0.3748 0.3748 0.8758  6 Pb 3.23-3.24
Pb3 0.3748 0.8758 0.3748  6 Pb 3.23-3.24
Pb4 0.8758 0.3748 0.3748  6 Pb 3.23-3.24

Here is AlHg2Pb after structural relaxation from Alexandria. Energies are from GGA-PBE.

abc: 13.7773 3.3912 4.6559
angles: 90.00 109.21 90.00
With the nearest neighbours (Å) after each atom.
Fractional positions:
Al1 0.0000 0.0000 0.0000  6 Hg 2.88-2.90, 2 Pb 3.09
Al2 0.5000 0.5000 0.0000  6 Hg 2.88-2.90, 2 Pb 3.09
Hg1 0.1805 0.5000 0.1828  2 Al 2.90
Hg2 0.4934 0.0000 0.4930  4 Al 2.88
Hg3 0.6805 0.0000 0.1828  2 Al 2.90
Hg4 0.9934 0.5000 0.4930  4 Al 2.88
Pb1 0.3015 0.0000 0.7979  2 Al 3.09, 6 Hg 3.27-3.44, 2 Pb 3.39
Pb2 0.8015 0.5000 0.7979  2 Al 3.09, 6 Hg 3.27-3.44, 2 Pb 3.39

Number 1: formation energy 151 meV/atom, electronic total energy -1.86 eV per atom, M_tot 0.0 μB per formula unit. Number 2: formation energy 315 meV/atom, electronic total energy -2.83 eV per atom, M_tot 0.0 μB per formula unit. Number 3: formation energy 108 meV/atom, electronic total energy -1.91 eV per atom, M_tot 0.0 μB per formula unit.